Compound: SmSc4Pb5
Source: Alexandria
Functional: PBE
Structure: optimized geometry

Unit cell a=6.1076 b=7.4401 c=7.4401 alpha=80.30 beta=65.77 gamma=65.77
Last column: nearest neighbours and their distance in Å.
Sites, in units of the cell vectors:
Sm  0.0013  0.0000  0.0000  6 Pb 3.05-3.25
Sc  0.3841  0.3973  0.8364  6 Pb 2.92-3.10
Sc  0.7814  0.8364  0.6027  6 Pb 2.92-3.10
Sc  0.2205  0.1636  0.3973  6 Pb 2.92-3.10
Sc  0.6178  0.6027  0.1636  6 Pb 2.92-3.10
Pb  0.9138  0.4149  0.7596  5 Sc 2.99-3.10, 1 Sm 3.25
Pb  0.3286  0.7596  0.5851  5 Sc 2.99-3.10, 1 Sm 3.25
Pb  0.6733  0.2404  0.4149  5 Sc 2.99-3.10, 1 Sm 3.25
Pb  0.0882  0.5851  0.2404  5 Sc 2.99-3.10, 1 Sm 3.25
Pb  0.5013  0.0000  0.0000  4 Sc 2.92, 2 Sm 3.05

Properties
- ρ: 8.07 g/cm3
- Energy of formation: -217 meV per atom
- Crystal system: tetragonal

---

Compound: SmSc3Pb2
Source: Alexandria
Functional: PBE
Structure: optimized geometry

Unit cell a=4.5724 b=10.0036 c=8.6436 alpha=121.72 beta=90.00 gamma=103.21
Last column: nearest neighbours and their distance in Å.
Sites, in units of the cell vectors:
Sm  0.8865  0.7730  0.9185  6 Pb 3.28-3.48, 3 Sc 3.55-3.66
Sm  0.1135  0.2270  0.0815  6 Pb 3.28-3.48, 3 Sc 3.55-3.66
Sc  0.3056  0.6112  0.5053  4 Pb 3.02-3.20, 5 Sc 3.12-3.22
Sc  0.9305  0.8610  0.5515  3 Pb 2.92-3.05, 2 Sc 3.20
Sc  0.6414  0.2828  0.7895  4 Pb 3.06-3.13, 3 Sc 3.22-3.38
Sc  0.3586  0.7172  0.2105  4 Pb 3.06-3.13, 3 Sc 3.22-3.38
Sc  0.0695  0.1390  0.4485  3 Pb 2.92-3.05, 2 Sc 3.20
Sc  0.6944  0.3888  0.4947  4 Pb 3.02-3.20, 5 Sc 3.12-3.22
Pb  0.4858  0.9715  0.8005  4 Sc 2.92-3.08, 1 Pb 3.18
Pb  0.5142  0.0285  0.1995  4 Sc 2.92-3.08, 1 Pb 3.18
Pb  0.7559  0.5119  0.2181  7 Sc 3.05-3.20, 2 Sm 3.28
Pb  0.2441  0.4881  0.7819  7 Sc 3.05-3.20, 2 Sm 3.28

Properties
- ρ: 7.17 g/cm3
- Energy of formation: -310 meV per atom
- Crystal system: monoclinic

---

Compound: SmScSnPb
Source: Alexandria
Functional: PBE
Structure: optimized geometry

Unit cell a=5.3295 b=5.3295 c=5.3295 alpha=60.00 beta=60.00 gamma=60.00
Last column: nearest neighbours and their distance in Å.
Sites, in units of the cell vectors:
Pb  0.7500  0.7500  0.7500  4 Sc 3.26, 4 Sm 3.26
Sc  0.5000  0.5000  0.5000  4 Sn 3.26, 4 Pb 3.26
Sn  0.2500  0.2500  0.2500  4 Sc 3.26, 4 Sm 3.26
Sm  0.0000  0.0000  0.0000  4 Pb 3.26, 4 Sn 3.26

Properties
- ρ: 8.09 g/cm3
- Energy of formation: -410 meV per atom
- Crystal system: cubic

---

Compound: SmScTlPb
Source: Alexandria
Functional: PBE
Structure: optimized geometry

Unit cell a=5.3375 b=5.3375 c=5.3375 alpha=60.00 beta=60.00 gamma=60.00
Last column: nearest neighbours and their distance in Å.
Sites, in units of the cell vectors:
Pb  0.2500  0.2500  0.2500  4 Sc 3.27, 4 Sm 3.27
Sc  0.0000  0.0000  0.0000  4 Tl 3.27, 4 Pb 3.27
Tl  0.7500  0.7500  0.7500  4 Sc 3.27, 4 Sm 3.27
Sm  0.5000  0.5000  0.5000  4 Tl 3.27, 4 Pb 3.27

Properties
- ρ: 9.37 g/cm3
- Energy of formation: -313 meV per atom
- Crystal system: cubic

---

Compound: Sc2Sn2Pb
Source: Alexandria
Functional: PBE
Structure: optimized geometry

Unit cell a=4.1134 b=4.1134 c=8.2687 alpha=75.60 beta=75.60 gamma=90.00
Last column: nearest neighbours and their distance in Å.
Sites, in units of the cell vectors:
Pb  0.0000  0.0000  0.0000  8 Sc 3.31
Sc  0.3973  0.3973  0.2054  4 Sn 3.07, 1 Sc 3.18, 4 Pb 3.31
Sc  0.6027  0.6027  0.7946  4 Sn 3.07, 1 Sc 3.18, 4 Pb 3.31
Sn  0.7500  0.2500  0.5000  4 Sn 2.91, 4 Sc 3.07
Sn  0.2500  0.7500  0.5000  4 Sn 2.91, 4 Sc 3.07

Properties
- ρ: 6.78 g/cm3
- Energy of formation: -217 meV per atom
- Crystal system: tetragonal
- Energy above the lowest structure with this stoichiometry: 76.1 kJ/mol of formula units

---

Compound: ScSnPb2
Source: Alexandria
Functional: PBE
Structure: optimized geometry

Unit cell a=4.6477 b=4.8042 c=4.8042 alpha=90.00 beta=90.00 gamma=90.00
Last column: nearest neighbours and their distance in Å.
Sites, in units of the cell vectors:
Pb  0.0000  0.0000  0.5000  4 Sn 3.34, 4 Sc 3.34, 4 Pb 3.40
Pb  0.0000  0.5000  0.0000  4 Sn 3.34, 4 Sc 3.34, 4 Pb 3.40
Sc  0.5000  0.5000  0.5000  8 Pb 3.34, 4 Sn 3.40
Sn  0.5000  0.0000  0.0000  8 Pb 3.34, 4 Sc 3.40

Properties
- ρ: 8.95 g/cm3
- Energy of formation: -161 meV per atom
- Crystal system: tetragonal

---

Compound: ScSnPb3
Source: Alexandria
Functional: PBE
Structure: optimized geometry

Unit cell a=5.5999 b=5.5999 c=5.5999 alpha=90.00 beta=90.00 gamma=90.00
Last column: nearest neighbours and their distance in Å.
Sites, in units of the cell vectors:
Pb  0.0000  0.5000  0.0000  2 Sc 2.80
Pb  0.0000  0.0000  0.5000  2 Sc 2.80
Pb  0.5000  0.0000  0.0000  2 Sc 2.80
Sc  0.0000  0.0000  0.0000  6 Pb 2.80
Sn  0.5000  0.5000  0.5000  12 Pb 3.96

Properties
- ρ: 7.43 g/cm3
- Energy of formation: 347 meV per atom
- Crystal system: cubic

---

Compound: Sc2SnPb
Source: Alexandria
Functional: PBE
Structure: optimized geometry

Unit cell a=3.5847 b=3.5847 c=9.1894 alpha=78.75 beta=78.75 gamma=60.00
Last column: nearest neighbours and their distance in Å.
Sites, in units of the cell vectors:
Pb  0.0000  0.0000  0.0000  6 Sc 3.09
Sc  0.7522  0.7522  0.7434  3 Sn 3.01, 3 Pb 3.09
Sc  0.2478  0.2478  0.2566  3 Sn 3.01, 3 Pb 3.09
Sn  0.5000  0.5000  0.5000  6 Sc 3.01

Properties
- ρ: 6.93 g/cm3
- Energy of formation: -369 meV per atom
- Crystal system: trigonal
- Energy above the lowest structure with this stoichiometry: 23.1 kJ/mol of formula units